*a*
# K4Hg2Pb

A geometry-optimized K4Hg2Pb structure (PBE, Alexandria).

```
14
Lattice="7.163 0.148 2.308 3.287 7.529 2.371 -0.040 0.376 11.099" Properties=species:S:1:pos:R:3 pbc="T T T"
Pb 5.807 7.544 5.093
Pb 4.028 5.811 3.150
Hg 7.913 3.914 10.531
Hg 8.478 6.940 10.825
Hg 3.274 2.913 2.936
Hg 5.757 2.436 8.747
K 3.884 4.771 6.731
K 6.098 1.260 5.229
K 7.795 5.091 7.056
K 4.573 5.171 10.815
K 1.935 1.030 6.155
K 7.572 5.090 14.049
K 2.624 1.430 10.240
K 5.875 1.258 12.221
```

Calculated values
Total magnetization   0.00 μB per cell


*b*
# K4Hg2Pb

A geometry-optimized K4Hg2Pb structure (PBE, Alexandria).

```
7
Lattice="6.851 0.000 0.000 0.000 6.851 0.000 -3.426 -3.426 8.387" Properties=species:S:1:pos:R:3 pbc="T T T"
K 0.000 3.426 0.000
K 0.000 0.000 3.438
K 3.426 0.000 0.000
K 3.426 3.426 4.950
Pb 0.000 0.000 0.000
Hg 0.000 0.000 6.878
Hg 3.426 3.426 1.510
```

Calculated values
Total magnetization   0.27 μB per cell


Least stable: *b*


*a*
# KHg3Pb

A geometry-optimized KHg3Pb structure (PBE, Alexandria).

```
5
Lattice="5.988 0.000 0.000 0.000 5.988 0.000 0.000 0.000 5.988" Properties=species:S:1:pos:R:3 pbc="T T T"
Hg 2.994 0.000 0.000
Hg 0.000 2.994 0.000
Hg 0.000 0.000 2.994
Pb 2.994 2.994 2.994
K 0.000 0.000 0.000
```

Calculated values
Total magnetization   0.00 μB per cell


*b*
# KHg3Pb

A geometry-optimized KHg3Pb structure (PBE, Alexandria).

```
10
Lattice="3.525 0.000 -0.485 0.000 5.271 0.000 0.412 0.000 16.036" Properties=species:S:1:pos:R:3 pbc="T T T"
Hg 1.414 3.953 10.270
Hg 1.874 3.953 0.568
Hg 2.063 1.318 14.982
Hg 2.523 1.318 5.280
Hg 1.624 1.318 11.797
Hg 2.313 3.953 3.753
K 0.333 1.318 2.417
K 3.604 3.953 13.133
Pb 2.962 1.318 8.470
Pb 0.975 3.953 7.080
```

Calculated values
Total magnetization   0.00 μB per cell


*c*
# KHg3Pb

A geometry-optimized KHg3Pb structure (PBE, Alexandria).

```
5
Lattice="5.968 0.000 0.000 0.000 5.968 0.000 0.000 0.000 5.968" Properties=species:S:1:pos:R:3 pbc="T T T"
Pb 0.000 0.000 0.000
Hg 2.984 0.000 0.000
Hg 0.000 2.984 0.000
Hg 0.000 0.000 2.984
K 2.984 2.984 2.984
```

Calculated values
Total magnetization   0.00 μB per cell


Least stable: *a*


*a*
# KHg4Pb

A geometry-optimized KHg4Pb structure (PBE, Alexandria).

```
6
Lattice="3.410 -0.001 0.000 0.002 5.418 0.000 0.000 0.000 9.292" Properties=species:S:1:pos:R:3 pbc="T T T"
Pb 3.407 5.402 4.630
Hg 1.702 5.403 1.597
Hg 1.701 5.403 7.660
Hg 1.701 2.694 3.120
Hg 1.701 2.694 6.137
K 3.406 2.694 9.275
```

Calculated values
Total magnetization   0.00 μB per cell


*b*
# KHg4Pb

A geometry-optimized KHg4Pb structure (PBE, Alexandria).

```
6
Lattice="6.235 0.000 0.000 3.118 5.400 0.000 3.118 1.800 5.091" Properties=species:S:1:pos:R:3 pbc="T T T"
Hg 6.235 5.402 1.909
Hg 7.796 2.699 1.909
Hg 6.235 3.600 4.457
Hg 4.675 2.699 1.909
Pb 0.000 0.000 0.000
K 9.353 5.400 3.818
```

Calculated values
Total magnetization   0.00 μB per cell


Least stable: *b*


*a*
# KHg2PtPb

A geometry-optimized KHg2PtPb structure (PBE, Alexandria).

```
5
Lattice="5.397 0.000 0.000 0.000 5.397 0.000 0.000 0.000 5.405" Properties=species:S:1:pos:R:3 pbc="T T T"
Hg 0.000 2.698 0.000
Hg 2.698 0.000 0.000
K 2.698 2.698 2.703
Pt 0.000 0.000 0.000
Pb 0.000 0.000 2.703
```

Calculated values
Total magnetization   0.00 μB per cell


*b*
# KHg2PtPb

A geometry-optimized KHg2PtPb structure (PBE, Alexandria).

```
5
Lattice="5.687 0.000 0.000 0.000 5.599 0.000 0.000 0.000 5.687" Properties=species:S:1:pos:R:3 pbc="T T T"
Hg 2.843 0.000 0.000
Hg 0.000 0.000 2.843
K 0.000 0.000 0.000
Pb 2.843 2.800 2.843
Pt 0.000 2.800 0.000
```

Calculated values
Total magnetization   0.00 μB per cell


Least stable: *b*


*a*
# K2HgPd2

A geometry-optimized K2HgPd2 structure (PBE, Alexandria).

```
10
Lattice="7.115 0.000 0.000 0.000 7.115 0.000 0.000 0.000 5.202" Properties=species:S:1:pos:R:3 pbc="T T T"
Pd 0.952 2.605 0.000
Pd 4.510 0.952 0.000
Pd 6.162 4.510 0.000
Pd 2.605 6.162 0.000
Hg 3.557 3.557 0.000
Hg 0.000 0.000 0.000
K 2.321 1.236 2.601
K 5.878 2.321 2.601
K 4.793 5.878 2.601
K 1.236 4.793 2.601
```

Calculated values
Total magnetization   0.00 μB per cell


*b*
# K2HgPd2

A geometry-optimized K2HgPd2 structure (PBE, Alexandria).

```
5
Lattice="-3.471 1.069 -3.058 3.710 -0.004 -4.212 -0.993 -5.556 2.871" Properties=species:S:1:pos:R:3 pbc="T T T"
Hg 0.000 0.000 0.000
Pd 1.024 0.531 -4.662
Pd -0.785 0.533 -2.608
K 1.502 -2.034 -2.415
K -2.256 -2.457 -1.984
```

Calculated values
Total magnetization   0.00 μB per cell


*c*
# K2HgPd2

A geometry-optimized K2HgPd2 structure (PBE, Alexandria).

```
10
Lattice="-1.062 6.166 -1.043 -2.337 -4.235 -3.367 -6.017 0.075 6.570" Properties=species:S:1:pos:R:3 pbc="T T T"
Pd -3.949 0.547 2.154
Pd -0.659 -1.121 -0.855
Pd -8.757 3.127 3.014
Pd -5.468 1.458 0.005
K -2.126 1.973 -0.548
K -7.291 0.033 2.707
K -4.011 -1.575 -0.312
K -5.405 3.580 2.472
Hg -4.618 0.666 4.824
Hg -2.462 5.575 0.703
```

Calculated values
Total magnetization   0.00 μB per cell


Least stable: *a*


*a*
# K2Hg4Pd

A geometry-optimized K2Hg4Pd structure (PBE, Alexandria).

```
7
Lattice="-1.389 3.340 3.947 -3.636 2.308 -3.234 -3.516 -6.202 4.011" Properties=species:S:1:pos:R:3 pbc="T T T"
Hg -5.210 -2.056 -0.094
Hg -0.695 1.670 1.973
Hg -1.818 1.154 -1.617
Hg -1.942 -1.838 0.872
K -4.443 -1.877 3.656
K -4.099 1.323 1.069
Pd 0.000 0.000 0.000
```

Calculated values
Total magnetization   0.00 μB per cell


*b*
# K2Hg4Pd

A geometry-optimized K2Hg4Pd structure (PBE, Alexandria).

```
7
Lattice="-3.519 -0.687 -3.997 1.263 -5.214 -0.216 -7.348 -4.697 3.670" Properties=species:S:1:pos:R:3 pbc="T T T"
K -6.731 -7.158 -0.057
K -2.873 -3.441 -0.486
Hg -5.367 -4.141 1.830
Hg -1.759 -0.344 -1.999
Hg 0.632 -2.607 -0.108
Hg -4.237 -6.458 -2.373
Pd 0.000 0.000 0.000
```

Calculated values
Total magnetization   0.00 μB per cell


Least stable: *b*